# 1
First-principles (PBE) data for crystalline BC2 at its relaxed geometry, as listed in the Alexandria database.

Cell: 4.612 2.504 6.627 Å, 90.00 91.76 90.00°
Space group P2_1/m (No. 11)
Asymmetric unit:
B1 0.055 0.250 0.224
B2 0.272 0.750 0.101
C1 0.081 0.250 0.463
C2 0.279 0.750 0.861
C3 0.414 0.250 0.775
C4 0.419 0.250 0.539

## Properties
Energy relative to the lowest polymorph listed for this composition: 104 meV per atom
N(E_F): 0.161 states/eV/atom
DFT formation energy: 0.344 eV per atom

# 2
First-principles (PBE) data for crystalline KRbCa2Pd at its relaxed geometry, as listed in the Alexandria database.

Cell: 5.738 5.738 6.915 Å, 90.00 90.00 90.00°
Space group P4/mmm (No. 123)
Asymmetric unit:
K1 0.000 0.000 0.000
Rb1 0.500 0.500 0.000
Ca1 0.000 0.500 0.500
Pd1 0.500 0.500 0.500

## Properties
Energy relative to the lowest polymorph listed for this composition: 11 meV per atom
N(E_F): 0.514 states/eV/atom
DFT formation energy: -0.097 eV per atom

# 3
First-principles (PBE) data for crystalline K4Hg5Pt at its relaxed geometry, as listed in the Alexandria database.

Cell: 11.360 11.360 5.402 Å, 90.00 90.00 90.00°
Space group I4/mmm (No. 139)
Asymmetric unit:
K1 0.000 0.290 0.000
Hg1 0.000 0.000 0.000
Hg2 0.178 0.178 0.500
Pt1 0.000 0.000 0.500

## Properties
N(E_F): 0.454 states/eV/atom
DFT formation energy: -0.213 eV per atom

# 4
First-principles (PBE) data for crystalline ZrAl2W at its relaxed geometry, as listed in the Alexandria database.

Cell: 3.958 3.958 19.496 Å, 90.00 90.00 90.00°
Space group I-42d (No. 122)
Asymmetric unit:
Zr1 0.000 0.000 0.000
Al1 0.228 0.250 0.625
W1 0.000 0.000 0.500

## Properties
Energy relative to the lowest polymorph listed for this composition: 535 meV per atom
N(E_F): 0.506 states/eV/atom
DFT formation energy: 0.351 eV per atom